# 1
Sr2NiAgP | PBE-GGA | relaxed

Properties
Offset from the most stable computed form   0 meV per atom
Formation energy   -0.444 eV/atom
Space-group type   P4/mmm, No. 123
N(E_F)   0.394 states/eV/atom

a b c (Å): 5.867 5.867 4.164
angles (deg): 90.00 90.00 90.00
Sites, in units of the cell vectors:
Sr 0.000 0.500 0.000
Sr 0.500 0.000 0.000
Ni 0.000 0.000 0.500
Ag 0.500 0.500 0.500
P 0.000 0.000 0.000

***

# 2
TaNi2AgP | PBE-GGA | relaxed

Properties
Formation energy   0.971 eV/atom
Space-group type   P4/mmm, No. 123
N(E_F)   0.742 states/eV/atom

a b c (Å): 4.611 4.611 4.725
angles (deg): 90.00 90.00 90.00
Sites, in units of the cell vectors:
Ta 0.000 0.000 0.000
Ni 0.000 0.500 0.000
Ni 0.500 0.000 0.000
Ag 0.500 0.500 0.500
P 0.000 0.000 0.500

***

# 3
Pa2NiAg | PBE-GGA | relaxed

Properties
Offset from the most stable computed form   0 meV per atom
Formation energy   -0.028 eV/atom
Space-group type   P4/mmm, No. 123
N(E_F)   1.748 states/eV/atom

a b c (Å): 3.080 3.080 8.539
angles (deg): 90.00 90.00 90.00
Sites, in units of the cell vectors:
Pa 0.000 0.000 0.219
Pa 0.000 0.000 0.781
Ni 0.500 0.500 0.000
Ag 0.500 0.500 0.500

***

# 4
Pa2Ni9Ag | PBE-GGA | relaxed

Properties
Formation energy   -0.210 eV/atom
Space-group type   R-3m, No. 166
N(E_F)   1.140 states/eV/atom

a b c (Å): 8.565 8.565 8.565
angles (deg): 33.16 33.16 33.16
Sites, in units of the cell vectors:
Pa 0.133 0.133 0.133
Pa 0.867 0.867 0.867
Ni 0.081 0.584 0.584
Ni 0.333 0.333 0.333
Ni 0.416 0.416 0.919
Ni 0.416 0.919 0.416
Ni 0.500 0.500 0.500
Ni 0.584 0.081 0.584
Ni 0.584 0.584 0.081
Ni 0.667 0.667 0.667
Ni 0.919 0.416 0.416
Ag 0.000 0.000 0.000

***

# 5
Pa2NiAg | PBE-GGA | relaxed

Properties
Offset from the most stable computed form   312 meV per atom
Formation energy   0.284 eV/atom
Space-group type   R-3m, No. 166
N(E_F)   1.738 states/eV/atom

a b c (Å): 3.126 3.126 31.183
angles (deg): 90.00 90.00 120.00
Sites, in units of the cell vectors:
Pa 0.000 0.000 0.099
Pa 0.000 0.000 0.901
Pa 0.333 0.667 0.568
Pa 0.333 0.667 0.766
Pa 0.667 0.333 0.234
Pa 0.667 0.333 0.432
Ni 0.000 0.000 0.500
Ni 0.333 0.667 0.167
Ni 0.667 0.333 0.833
Ag 0.000 0.000 0.000
Ag 0.333 0.667 0.667
Ag 0.667 0.333 0.333

***

# 6
PaNiAgPd | PBE-GGA | relaxed

Properties
Formation energy   -0.214 eV/atom
Space-group type   F-43m, No. 216
N(E_F)   1.084 states/eV/atom

a b c (Å): 6.636 6.636 6.636
angles (deg): 90.00 90.00 90.00
Sites, in units of the cell vectors:
Pa 0.000 0.000 0.000
Pa 0.000 0.500 0.500
Pa 0.500 0.000 0.500
Pa 0.500 0.500 0.000
Ni 0.250 0.250 0.750
Ni 0.250 0.750 0.250
Ni 0.750 0.250 0.250
Ni 0.750 0.750 0.750
Ag 0.000 0.000 0.500
Ag 0.000 0.500 0.000
Ag 0.500 0.000 0.000
Ag 0.500 0.500 0.500
Pd 0.250 0.250 0.250
Pd 0.250 0.750 0.750
Pd 0.750 0.250 0.750
Pd 0.750 0.750 0.250

***

# 7
PaNiAg2S4 | PBE-GGA | relaxed

Properties
Energy   -5.282 eV/atom
Space-group type   Cmcm, No. 63
N(E_F)   0.601 states/eV/atom

a b c (Å): 6.273 6.273 13.406
angles (deg): 90.00 90.00 144.81
Sites, in units of the cell vectors:
Pa 0.106 0.894 0.750
Pa 0.894 0.106 0.250
Ni 0.165 0.835 0.250
Ni 0.835 0.165 0.750
Ag 0.372 0.628 0.562
Ag 0.372 0.628 0.938
Ag 0.628 0.372 0.062
Ag 0.628 0.372 0.438
S 0.000 0.000 0.000
S 0.000 0.000 0.500
S 0.299 0.701 0.130
S 0.299 0.701 0.370
S 0.439 0.561 0.750
S 0.561 0.439 0.250
S 0.701 0.299 0.630
S 0.701 0.299 0.870

***

# 8
Pa2Ni2AgS6 | PBE-GGA | relaxed

Properties
Energy   -6.287 eV/atom
Space-group type   P-1, No. 2
N(E_F)   0.358 states/eV/atom

a b c (Å): 6.326 6.722 6.863
angles (deg): 67.89 69.51 65.00
Sites, in units of the cell vectors:
Pa 0.012 0.321 0.314
Pa 0.988 0.679 0.686
Ni 0.499 0.696 0.395
Ni 0.501 0.304 0.605
Ag 0.000 0.000 0.000
S 0.238 0.947 0.588
S 0.239 0.263 0.922
S 0.283 0.529 0.346
S 0.717 0.471 0.654
S 0.761 0.737 0.078
S 0.762 0.053 0.412

***

# 9
Ni2AgPb | PBE-GGA | relaxed

Properties
Offset from the most stable computed form   0 meV per atom
Formation energy   0.209 eV/atom
Space-group type   Fm-3m, No. 225
N(E_F)   0.661 states/eV/atom

a b c (Å): 6.312 6.312 6.312
angles (deg): 90.00 90.00 90.00
Sites, in units of the cell vectors:
Ni 0.250 0.250 0.250
Ni 0.250 0.250 0.750
Ni 0.250 0.750 0.250
Ni 0.250 0.750 0.750
Ni 0.750 0.250 0.250
Ni 0.750 0.250 0.750
Ni 0.750 0.750 0.250
Ni 0.750 0.750 0.750
Ag 0.000 0.000 0.000
Ag 0.000 0.500 0.500
Ag 0.500 0.000 0.500
Ag 0.500 0.500 0.000
Pb 0.000 0.000 0.500
Pb 0.000 0.500 0.000
Pb 0.500 0.000 0.000
Pb 0.500 0.500 0.500

***

# 10
Ni2AgPb | PBE-GGA | relaxed

Properties
Offset from the most stable computed form   264 meV per atom
Formation energy   0.473 eV/atom
Space-group type   I-42d, No. 122
N(E_F)   0.609 states/eV/atom

a b c (Å): 7.075 7.075 5.572
angles (deg): 90.00 90.00 90.00
Sites, in units of the cell vectors:
Ni 0.250 0.250 0.125
Ni 0.250 0.250 0.625
Ni 0.250 0.750 0.375
Ni 0.250 0.750 0.875
Ni 0.750 0.250 0.375
Ni 0.750 0.250 0.875
Ni 0.750 0.750 0.125
Ni 0.750 0.750 0.625
Ag 0.000 0.000 0.000
Ag 0.000 0.500 0.250
Ag 0.500 0.000 0.750
Ag 0.500 0.500 0.500
Pb 0.000 0.000 0.500
Pb 0.000 0.500 0.750
Pb 0.500 0.000 0.250
Pb 0.500 0.500 0.000

***

# 11
Ni3AgPb | PBE-GGA | relaxed

Properties
Offset from the most stable computed form   0 meV per atom
Formation energy   1.110 eV/atom
Space-group type   Pm-3m, No. 221
N(E_F)   1.124 states/eV/atom

a b c (Å): 4.670 4.670 4.670
angles (deg): 90.00 90.00 90.00
Sites, in units of the cell vectors:
Ni 0.000 0.000 0.500
Ni 0.000 0.500 0.000
Ni 0.500 0.000 0.000
Ag 0.000 0.000 0.000
Pb 0.500 0.500 0.500

***

# 12
Ni2AgPb | PBE-GGA | relaxed

Properties
Offset from the most stable computed form   31 meV per atom
Formation energy   0.241 eV/atom
Space-group type   P4/mmm, No. 123
N(E_F)   0.750 states/eV/atom

a b c (Å): 4.297 4.297 3.432
angles (deg): 90.00 90.00 90.00
Sites, in units of the cell vectors:
Ni 0.000 0.500 0.000
Ni 0.500 0.000 0.000
Ag 0.000 0.000 0.500
Pb 0.500 0.500 0.500

***

# 13
Ni2AgPb | PBE-GGA | relaxed

Properties
Offset from the most stable computed form   75 meV per atom
Formation energy   0.284 eV/atom
Space-group type   P2/m, No. 10
N(E_F)   0.700 states/eV/atom

a b c (Å): 3.321 3.344 5.804
angles (deg): 90.00 90.10 90.00
Sites, in units of the cell vectors:
Ni 0.000 0.000 0.241
Ni 0.000 0.000 0.759
Ag 0.500 0.500 0.000
Pb 0.500 0.500 0.500

***

# 14
Ni2AgPb | PBE-GGA | relaxed

Properties
Offset from the most stable computed form   83 meV per atom
Formation energy   0.293 eV/atom
Space-group type   I-4m2, No. 119
N(E_F)   0.766 states/eV/atom

a b c (Å): 3.884 3.884 8.500
angles (deg): 90.00 90.00 90.00
Sites, in units of the cell vectors:
Ni 0.000 0.000 0.000
Ni 0.000 0.500 0.250
Ni 0.500 0.000 0.750
Ni 0.500 0.500 0.500
Ag 0.000 0.000 0.500
Ag 0.500 0.500 0.000
Pb 0.000 0.500 0.750
Pb 0.500 0.000 0.250

***

# 15
Ni2Ag2Pb | PBE-GGA | relaxed

Properties
Offset from the most stable computed form   142 meV per atom
Formation energy   0.378 eV/atom
Space-group type   I4/mmm, No. 139
N(E_F)   1.376 states/eV/atom

a b c (Å): 3.338 3.338 16.880
angles (deg): 90.00 90.00 90.00
Sites, in units of the cell vectors:
Ni 0.000 0.500 0.250
Ni 0.000 0.500 0.750
Ni 0.500 0.000 0.250
Ni 0.500 0.000 0.750
Ag 0.000 0.000 0.125
Ag 0.000 0.000 0.875
Ag 0.500 0.500 0.375
Ag 0.500 0.500 0.625
Pb 0.000 0.000 0.500
Pb 0.500 0.500 0.000

***

# 16
Ni2Ag2Pb | PBE-GGA | relaxed

Properties
Offset from the most stable computed form   0 meV per atom
Formation energy   0.236 eV/atom
Space-group type   P4/mbm, No. 127
N(E_F)   0.612 states/eV/atom

a b c (Å): 6.644 6.644 3.897
angles (deg): 90.00 90.00 90.00
Sites, in units of the cell vectors:
Ni 0.128 0.372 0.000
Ni 0.372 0.872 0.000
Ni 0.628 0.128 0.000
Ni 0.872 0.628 0.000
Ag 0.159 0.659 0.500
Ag 0.341 0.159 0.500
Ag 0.659 0.841 0.500
Ag 0.841 0.341 0.500
Pb 0.000 0.000 0.000
Pb 0.500 0.500 0.000

***

# 17
Ni2Ag2Pb | PBE-GGA | relaxed

Properties
Offset from the most stable computed form   137 meV per atom
Formation energy   0.373 eV/atom
Space-group type   P4/mbm, No. 127
N(E_F)   1.120 states/eV/atom

a b c (Å): 7.601 7.601 2.982
angles (deg): 90.00 90.00 90.00
Sites, in units of the cell vectors:
Ni 0.165 0.335 0.000
Ni 0.335 0.835 0.000
Ni 0.665 0.165 0.000
Ni 0.835 0.665 0.000
Ag 0.130 0.630 0.500
Ag 0.370 0.130 0.500
Ag 0.630 0.870 0.500
Ag 0.870 0.370 0.500
Pb 0.000 0.000 0.500
Pb 0.500 0.500 0.500

***

# 18
Ni2AgPb | PBE-GGA | relaxed

Properties
Offset from the most stable computed form   53 meV per atom
Formation energy   0.262 eV/atom
Space-group type   Pm, No. 6
N(E_F)   1.021 states/eV/atom

a b c (Å): 3.344 4.069 5.159
angles (deg): 90.00 108.05 90.00
Sites, in units of the cell vectors:
Ni 0.000 0.000 0.000
Ni 0.131 0.500 0.287
Ag 0.427 0.500 0.854
Pb 0.713 0.000 0.455

***

# 19
Ni2AgPb | PBE-GGA | relaxed

Properties
Offset from the most stable computed form   247 meV per atom
Formation energy   0.456 eV/atom
Space-group type   R3m, No. 160
N(E_F)   1.341 states/eV/atom

a b c (Å): 3.125 3.125 25.219
angles (deg): 90.00 90.00 120.00
Sites, in units of the cell vectors:
Ni 0.000 0.000 0.000
Ni 0.000 0.000 0.272
Ni 0.333 0.667 0.667
Ni 0.333 0.667 0.939
Ni 0.667 0.333 0.333
Ni 0.667 0.333 0.605
Ag 0.000 0.000 0.746
Ag 0.333 0.667 0.413
Ag 0.667 0.333 0.079
Pb 0.000 0.000 0.519
Pb 0.333 0.667 0.186
Pb 0.667 0.333 0.853

***

# 20
Ni4AgPb | PBE-GGA | relaxed

Properties
Formation energy   0.181 eV/atom
Space-group type   F-43m, No. 216
N(E_F)   1.192 states/eV/atom

a b c (Å): 4.948 4.948 4.948
angles (deg): 60.00 60.00 60.00
Sites, in units of the cell vectors:
Ni 0.125 0.125 0.125
Ni 0.125 0.125 0.624
Ni 0.125 0.624 0.125
Ni 0.624 0.125 0.125
Ag 0.500 0.500 0.500
Pb 0.750 0.750 0.750